[1]
# PBE FePd2Pt8, relaxed
# formation energy = 0.34 eV per atom
# distance to the lowest polymorph of the same formula = 5.02 eV/f.u.
# total energy = -5.76 eV/atom
# crystal system = monoclinic
# DOS(E_F) = 12.8 states/eV per cell
data_FePd2Pt8
_chemical_formula_sum 'Fe1 Pd2 Pt8'
_cell_length_a 5.0759
_cell_length_b 6.6754
_cell_length_c 6.6754
_cell_angle_alpha 74.59
_cell_angle_beta 77.79
_cell_angle_gamma 77.79
_space_group_name_H-M_alt 'P 1'
_space_group_IT_number 1
loop_
_space_group_symop_operation_xyz
'x,y,z'
loop_
_atom_site_label
_atom_site_fract_x
_atom_site_fract_y
_atom_site_fract_z
Pt1 0.2715 0.4709 0.4709
Pt2 0.7285 0.5291 0.5291
Pt3 0.0184 0.1329 0.6096
Pt4 0.9816 0.3904 0.8671
Pt5 0.9816 0.8671 0.3904
Pt6 0.0184 0.6096 0.1329
Pt7 0.2546 0.1872 0.1872
Pt8 0.7454 0.8128 0.8128
Pd1 0.2957 0.7365 0.7365
Pd2 0.7043 0.2635 0.2635
Fe1 0.0000 0.0000 0.0000

=====

[2]
# PBE Fe2PdPt, relaxed
# formation energy = -0.05 eV per atom
# total energy = -7.09 eV/atom
# crystal system = trigonal
# DOS(E_F) = 4.7 states/eV per cell
data_Fe2PdPt
_chemical_formula_sum 'Fe2 Pd1 Pt1'
_cell_length_a 2.7366
_cell_length_b 2.7366
_cell_length_c 8.8307
_cell_angle_alpha 81.09
_cell_angle_beta 81.09
_cell_angle_gamma 60.00
_space_group_name_H-M_alt 'P 1'
_space_group_IT_number 1
loop_
_space_group_symop_operation_xyz
'x,y,z'
loop_
_atom_site_label
_atom_site_fract_x
_atom_site_fract_y
_atom_site_fract_z
Fe1 0.7503 0.7503 0.7490
Fe2 0.2497 0.2497 0.2510
Pt1 0.0000 0.0000 0.0000
Pd1 0.5000 0.5000 0.5000

=====

[3]
# PBE FePd3Pt4, relaxed
# formation energy = -0.13 eV per atom
# distance to the lowest polymorph of the same formula = 0.00 eV/f.u.
# total energy = -6.15 eV/atom
# crystal system = tetragonal
# DOS(E_F) = 9.2 states/eV per cell
data_FePd3Pt4
_chemical_formula_sum 'Fe1 Pd3 Pt4'
_cell_length_a 3.9220
_cell_length_b 3.9220
_cell_length_c 8.3796
_cell_angle_alpha 103.54
_cell_angle_beta 103.54
_cell_angle_gamma 89.97
_space_group_name_H-M_alt 'P 1'
_space_group_IT_number 1
loop_
_space_group_symop_operation_xyz
'x,y,z'
loop_
_atom_site_label
_atom_site_fract_x
_atom_site_fract_y
_atom_site_fract_z
Pd1 0.7518 0.2518 0.5035
Pd2 0.0000 0.5000 0.0000
Pd3 0.2482 0.7482 0.4965
Pt1 0.6207 0.6207 0.2412
Pt2 0.8794 0.8793 0.7588
Pt3 0.1206 0.1207 0.2412
Pt4 0.3793 0.3793 0.7588
Fe1 0.5000 0.0000 0.0000

=====

[4]
# PBE Fe4Pd5Pt, relaxed
# formation energy = -0.06 eV per atom
# total energy = -6.65 eV/atom
# crystal system = tetragonal
# DOS(E_F) = 7.5 states/eV per cell
data_Fe4Pd5Pt
_chemical_formula_sum 'Fe4 Pd5 Pt1'
_cell_length_a 2.7528
_cell_length_b 2.7528
_cell_length_c 18.7903
_cell_angle_alpha 90.00
_cell_angle_beta 90.00
_cell_angle_gamma 90.00
_space_group_name_H-M_alt 'P 1'
_space_group_IT_number 1
loop_
_space_group_symop_operation_xyz
'x,y,z'
loop_
_atom_site_label
_atom_site_fract_x
_atom_site_fract_y
_atom_site_fract_z
Fe1 0.0000 0.0000 0.2057
Fe2 0.0000 0.0000 0.5981
Fe3 0.0000 0.0000 0.4019
Fe4 0.0000 0.0000 0.7943
Pd1 0.5000 0.5000 0.5000
Pd2 0.5000 0.5000 0.1105
Pd3 0.5000 0.5000 0.6963
Pd4 0.5000 0.5000 0.3037
Pd5 0.5000 0.5000 0.8895
Pt1 0.0000 0.0000 0.0000

=====

[5]
# PBE Fe6Pd12Pt, relaxed
# formation energy = -0.07 eV per atom
# total energy = -6.34 eV/atom
# crystal system = trigonal
# DOS(E_F) = 17.1 states/eV per cell
data_Fe6Pd12Pt
_chemical_formula_sum 'Fe6 Pd12 Pt1'
_cell_length_a 7.2521
_cell_length_b 7.2521
_cell_length_c 7.2521
_cell_angle_alpha 110.94
_cell_angle_beta 110.94
_cell_angle_gamma 110.94
_space_group_name_H-M_alt 'P 1'
_space_group_IT_number 1
loop_
_space_group_symop_operation_xyz
'x,y,z'
loop_
_atom_site_label
_atom_site_fract_x
_atom_site_fract_y
_atom_site_fract_z
Pd1 0.6705 0.5209 0.7945
Pd2 0.8863 0.8346 0.2621
Pd3 0.7379 0.1137 0.1654
Pd4 0.7945 0.6705 0.5209
Pd5 0.2055 0.3295 0.4791
Pd6 0.5209 0.7945 0.6705
Pd7 0.4791 0.2055 0.3295
Pd8 0.1137 0.1654 0.7379
Pd9 0.2621 0.8863 0.8346
Pd10 0.8346 0.2621 0.8863
Pd11 0.3295 0.4791 0.2055
Pd12 0.1654 0.7379 0.1137
Fe1 0.4151 0.6338 0.9422
Fe2 0.3662 0.0578 0.5849
Fe3 0.9422 0.4151 0.6338
Fe4 0.6338 0.9422 0.4151
Fe5 0.0578 0.5849 0.3662
Fe6 0.5849 0.3662 0.0578
Pt1 0.0000 0.0000 0.0000

=====

[6]
# PBE Fe4PdPt2, relaxed
# formation energy = 0.37 eV per atom
# total energy = -6.94 eV/atom
# crystal system = tetragonal
# DOS(E_F) = 5.8 states/eV per cell
data_Fe4PdPt2
_chemical_formula_sum 'Fe4 Pd1 Pt2'
_cell_length_a 4.7596
_cell_length_b 4.7596
_cell_length_c 5.8475
_cell_angle_alpha 114.02
_cell_angle_beta 114.02
_cell_angle_gamma 90.00
_space_group_name_H-M_alt 'P 1'
_space_group_IT_number 1
loop_
_space_group_symop_operation_xyz
'x,y,z'
loop_
_atom_site_label
_atom_site_fract_x
_atom_site_fract_y
_atom_site_fract_z
Pd1 0.0000 0.0000 0.0000
Pt1 0.3591 0.3591 0.7182
Pt2 0.6409 0.6409 0.2818
Fe1 0.0000 0.5000 0.0000
Fe2 0.7500 0.2500 0.5000
Fe3 0.2500 0.7500 0.5000
Fe4 0.5000 0.0000 0.0000

=====

[7]
# PBE Fe3PdPt12, relaxed
# formation energy = -0.18 eV per atom
# total energy = -6.63 eV/atom
# crystal system = tetragonal
# DOS(E_F) = 15.8 states/eV per cell
data_Fe3PdPt12
_chemical_formula_sum 'Fe3 Pd1 Pt12'
_cell_length_a 3.9244
_cell_length_b 3.9244
_cell_length_c 15.7235
_cell_angle_alpha 90.00
_cell_angle_beta 90.00
_cell_angle_gamma 90.00
_space_group_name_H-M_alt 'P 1'
_space_group_IT_number 1
loop_
_space_group_symop_operation_xyz
'x,y,z'
loop_
_atom_site_label
_atom_site_fract_x
_atom_site_fract_y
_atom_site_fract_z
Pt1 0.0000 0.5000 0.8697
Pt2 0.5000 0.5000 0.0000
Pt3 0.5000 0.0000 0.3763
Pt4 0.0000 0.5000 0.6237
Pt5 0.5000 0.0000 0.1303
Pt6 0.5000 0.5000 0.2532
Pt7 0.0000 0.5000 0.1303
Pt8 0.5000 0.5000 0.7468
Pt9 0.5000 0.0000 0.8697
Pt10 0.5000 0.5000 0.5000
Pt11 0.0000 0.5000 0.3763
Pt12 0.5000 0.0000 0.6237
Fe1 0.0000 0.0000 0.2486
Fe2 0.0000 0.0000 0.7514
Fe3 0.0000 0.0000 0.5000
Pd1 0.0000 0.0000 0.0000

=====

[8]
# PBE Fe3Pd2Pt, relaxed
# formation energy = -0.12 eV per atom
# distance to the lowest polymorph of the same formula = 0.00 eV/f.u.
# total energy = -7.09 eV/atom
# crystal system = orthorhombic
# DOS(E_F) = 7.4 states/eV per cell
data_Fe3Pd2Pt
_chemical_formula_sum 'Fe6 Pd4 Pt2'
_cell_length_a 3.7548
_cell_length_b 3.8598
_cell_length_c 11.5701
_cell_angle_alpha 90.00
_cell_angle_beta 90.00
_cell_angle_gamma 90.00
_space_group_name_H-M_alt 'P 1'
_space_group_IT_number 1
loop_
_space_group_symop_operation_xyz
'x,y,z'
loop_
_atom_site_label
_atom_site_fract_x
_atom_site_fract_y
_atom_site_fract_z
Fe1 0.4997 0.5000 0.0000
Fe2 0.5001 0.5000 0.3347
Fe3 0.5003 0.0000 0.5000
Fe4 0.5001 0.5000 0.6653
Fe5 0.4999 0.0000 0.8347
Fe6 0.4999 0.0000 0.1653
Pt1 0.9998 0.0000 0.0000
Pt2 0.0002 0.5000 0.5000
Pd1 0.0003 0.0000 0.3324
Pd2 0.0003 0.0000 0.6676
Pd3 0.9997 0.5000 0.8324
Pd4 0.9997 0.5000 0.1676

=====

[9]
# PBE FePd2Pt4, relaxed
# formation energy = 0.67 eV per atom
# distance to the lowest polymorph of the same formula = 4.80 eV/f.u.
# total energy = -5.47 eV/atom
# crystal system = tetragonal
# DOS(E_F) = 7.7 states/eV per cell
data_FePd2Pt4
_chemical_formula_sum 'Fe1 Pd2 Pt4'
_cell_length_a 4.6405
_cell_length_b 4.6405
_cell_length_c 7.1325
_cell_angle_alpha 108.98
_cell_angle_beta 108.98
_cell_angle_gamma 90.00
_space_group_name_H-M_alt 'P 1'
_space_group_IT_number 1
loop_
_space_group_symop_operation_xyz
'x,y,z'
loop_
_atom_site_label
_atom_site_fract_x
_atom_site_fract_y
_atom_site_fract_z
Pt1 0.0000 0.5000 0.0000
Pt2 0.3908 0.3908 0.7815
Pt3 0.5000 0.0000 0.0000
Pt4 0.6092 0.6092 0.2185
Fe1 0.0000 0.0000 0.0000
Pd1 0.1870 0.1870 0.3740
Pd2 0.8130 0.8130 0.6260

=====

[10]
# PBE FePd3Pt2, relaxed
# formation energy = -0.12 eV per atom
# distance to the lowest polymorph of the same formula = 0.00 eV/f.u.
# total energy = -6.14 eV/atom
# crystal system = monoclinic
# DOS(E_F) = 12.2 states/eV per cell
data_FePd3Pt2
_chemical_formula_sum 'Fe2 Pd6 Pt4'
_cell_length_a 2.7648
_cell_length_b 7.8226
_cell_length_c 8.3435
_cell_angle_alpha 89.97
_cell_angle_beta 90.00
_cell_angle_gamma 90.00
_space_group_name_H-M_alt 'P 1'
_space_group_IT_number 1
loop_
_space_group_symop_operation_xyz
'x,y,z'
loop_
_atom_site_label
_atom_site_fract_x
_atom_site_fract_y
_atom_site_fract_z
Pd1 0.2500 0.8816 0.4163
Pd2 0.2500 0.3658 0.0847
Pd3 0.2500 0.3738 0.7505
Pd4 0.7500 0.6262 0.2495
Pd5 0.7500 0.6342 0.9153
Pd6 0.7500 0.1184 0.5837
Pt1 0.2500 0.8843 0.0880
Pt2 0.7500 0.1157 0.9120
Pt3 0.2500 0.3674 0.4114
Pt4 0.7500 0.6326 0.5886
Fe1 0.2500 0.8737 0.7486
Fe2 0.7500 0.1263 0.2514